Entry 1:
# ZrCd4Ag3, relaxed, DFT PBE
# Crystal system ... tetragonal
data_ZrCd4Ag3
_space_group_name_H-M_alt 'P 4/m m m'
_space_group_IT_number 123
_space_group_name_Hall '-P 4 2'
_cell_length_a 4.467
_cell_length_b 4.467
_cell_length_c 8.082
_cell_angle_alpha 90.00
_cell_angle_beta 90.00
_cell_angle_gamma 90.00
loop_
_atom_site_label
_atom_site_type_symbol
_atom_site_fract_x
_atom_site_fract_y
_atom_site_fract_z
Zr1 Zr 0.000 0.000 0.000
Cd1 Cd 0.000 0.500 0.258
Ag1 Ag 0.000 0.000 0.500
Ag2 Ag 0.500 0.500 0.000
Ag3 Ag 0.500 0.500 0.500

=====

Entry 2:
# YFeOs2, relaxed, DFT PBE
# Crystal system ... orthorhombic
data_YFeOs2
_space_group_name_H-M_alt 'A m m 2'
_space_group_IT_number 38
_cell_length_a 4.171
_cell_length_b 2.911
_cell_length_c 10.989
_cell_angle_alpha 90.00
_cell_angle_beta 90.00
_cell_angle_gamma 90.00
loop_
_space_group_symop_operation_xyz
'x,y,z'
'-x,-y,z'
'-x,y,z'
'x,-y,z'
'x,y+1/2,z+1/2'
'-x,-y+1/2,z+1/2'
'-x,y+1/2,z+1/2'
'x,-y+1/2,z+1/2'
loop_
_atom_site_label
_atom_site_type_symbol
_atom_site_fract_x
_atom_site_fract_y
_atom_site_fract_z
Y1 Y 0.000 0.000 0.000
Fe1 Fe 0.500 0.000 0.625
Os1 Os 0.000 0.000 0.743
Os2 Os 0.500 0.000 0.324

=====

Computed Fermi-level density of states (states/eV/f.u.) in order:
3.7 4.3
Computed formation energy (eV/f.u.) in order:
-0.344 1.097